AlGeW | PBE | optimized geometry

Output
final energy: -7.188 eV per atom
symmetry: Fdd2 (43)
total magnetic moment: 0.00 Bohr magnetons per cell
crystal system: orthorhombic

Lattice parameters (Å, degrees): 4.8733 5.0729 5.0733 57.28 103.82 76.16
With the nearest neighbours (Å) after each atom.
Atoms (fractional coordinates):
Ge  0.5386  0.4402  0.8868  5 Al 2.61-2.85, 5 W 2.64-2.86
Ge  0.0385  0.6903  0.1366  5 Al 2.61-2.85, 5 W 2.64-2.86
Al  0.1859  0.1167  0.2105  5 Ge 2.61-2.85, 5 W 2.64-2.85
Al  0.6858  0.3667  0.4602  5 Ge 2.61-2.85, 5 W 2.64-2.85
W  0.3613  0.0290  0.7981  5 Al 2.64-2.85, 5 Ge 2.64-2.86
W  0.8614  0.7788  0.5482  5 Al 2.64-2.85, 5 Ge 2.64-2.86